# ZrNiHg2Pt

ZrNiHg2Pt after structural relaxation (GGA-PBE, Alexandria).

Output
Size of the total moment ... 0.101 μB/atom
Calculated formation energy ... 732 meV/atom
Energy ... -17.31 eV/cell

Lattice parameters (Å, degrees): 5.1147 4.5889 5.1147 90.00 90.00 90.00
With the nearest neighbours (Å) after each atom.
Fractional coordinates of all 5 atoms:
Zr 0.5000 0.5000 0.5000  8 Hg 3.44, 4 Ni 3.62
Hg 0.0000 0.0000 0.5000  2 Pt 2.56
Hg 0.5000 0.0000 0.0000  2 Pt 2.56
Ni 0.0000 0.5000 0.0000  2 Pt 2.29
Pt 0.0000 0.0000 0.0000  2 Ni 2.29, 4 Hg 2.56

# Nd5Dy4Tl2

Nd5Dy4Tl2 after structural relaxation (GGA-PBE, Alexandria).

Output
Size of the total moment ... 0.000 μB/atom
Calculated formation energy ... -31 meV/atom
Energy ... -47.32 eV/cell

Lattice parameters (Å, degrees): 3.6067 8.9041 11.2065 94.05 90.00 90.00
With the nearest neighbours (Å) after each atom.
Fractional coordinates of all 11 atoms:
Nd 0.0000 0.1996 0.1660  1 Tl 3.33, 4 Nd 3.36-3.61, 6 Dy 3.56-3.63
Nd 0.0000 0.5394 0.3361  1 Tl 3.33, 3 Nd 3.46-3.61, 4 Dy 3.64-3.69
Nd 0.0000 0.5000 0.0000  6 Nd 3.36-3.76, 4 Dy 3.71
Nd 0.0000 0.8004 0.8340  1 Tl 3.33, 4 Nd 3.36-3.61, 6 Dy 3.56-3.63
Nd 0.0000 0.4606 0.6639  1 Tl 3.33, 3 Nd 3.46-3.61, 4 Dy 3.64-3.69
Tl 0.0000 0.0864 0.6576  6 Dy 3.21-3.37, 2 Nd 3.33
Tl 0.0000 0.9136 0.3424  6 Dy 3.21-3.37, 2 Nd 3.33
Dy 0.5000 0.7846 0.5539  4 Tl 3.25-3.37, 2 Dy 3.61, 4 Nd 3.61-3.64
Dy 0.5000 0.1519 0.8921  2 Tl 3.21, 2 Nd 3.56
Dy 0.5000 0.8481 0.1079  2 Tl 3.21, 2 Nd 3.56
Dy 0.5000 0.2154 0.4461  4 Tl 3.25-3.37, 2 Dy 3.61, 4 Nd 3.61-3.64

# RbBe4P3O12

RbBe4P3O12 after structural relaxation (GGA-PBE, Alexandria).

Output
Size of the total moment ... 0.000 μB/atom
ΔE_f (raw) ... -2007.6 meV per atom
Energy ... -131.75 eV/cell

Lattice parameters (Å, degrees): 5.9833 5.9833 5.9833 106.51 106.51 106.51
With the nearest neighbours (Å) after each atom.
Fractional coordinates of all 20 atoms:
O 0.0984 0.9016 0.5000  1 Be 1.62
O 0.5000 0.0984 0.9016  1 Be 1.62
O 0.6192 0.7308 0.0340  1 Be 1.54, 1 P 1.60
O 0.3325 0.6675 0.5000  1 Be 1.61
O 0.9016 0.5000 0.0984  1 Be 1.62
O 0.3808 0.9660 0.2692  1 Be 1.54, 1 P 1.60
O 0.2692 0.3808 0.9660  1 Be 1.54, 1 P 1.60
O 0.0340 0.6192 0.7308  1 Be 1.54, 1 P 1.60
O 0.5000 0.3325 0.6675  1 Be 1.61
O 0.9660 0.2692 0.3808  1 Be 1.54, 1 P 1.60
O 0.7308 0.0340 0.6192  1 Be 1.54, 1 P 1.60
O 0.6675 0.5000 0.3325  1 Be 1.61
Be 0.9290 0.0710 0.5000  3 O 1.54-1.62
Be 0.0710 0.5000 0.9290  3 O 1.54-1.62
Be 0.5000 0.9290 0.0710  3 O 1.54-1.62
Be 0.5000 0.5000 0.5000  3 O 1.61
Rb 0.0000 0.0000 0.0000  6 O 2.49
P 0.4417 0.0000 0.5583  2 O 1.60
P 0.0000 0.5583 0.4417  2 O 1.60
P 0.5583 0.4417 0.0000  2 O 1.60

# GdCuSnRu

GdCuSnRu after structural relaxation (GGA-PBE, Alexandria).

Output
Size of the total moment ... 1.780 μB/atom
Calculated formation energy ... -231 meV/atom
Energy ... -32.38 eV/cell

Lattice parameters (Å, degrees): 4.7280 4.7280 4.7280 60.00 60.00 60.00
With the nearest neighbours (Å) after each atom.
Fractional coordinates of all 4 atoms:
Sn 0.7500 0.7500 0.7500  4 Cu 2.90, 4 Ru 2.90
Cu 0.0000 0.0000 0.0000  4 Sn 2.90, 4 Gd 2.90
Gd 0.2500 0.2500 0.2500  4 Ru 2.90, 4 Cu 2.90
Ru 0.5000 0.5000 0.5000  4 Gd 2.90, 4 Sn 2.90

# Ac2TmAu2

Ac2TmAu2 after structural relaxation (GGA-PBE, Alexandria).

Output
Size of the total moment ... 0.000 μB/atom
Calculated formation energy ... -649 meV/atom
Energy ... -22.49 eV/cell

Lattice parameters (Å, degrees): 4.1492 6.6532 6.6532 65.01 71.83 71.83
With the nearest neighbours (Å) after each atom.
Fractional coordinates of all 5 atoms:
Tm 0.0000 0.0000 0.0000  4 Au 2.90
Ac 0.1995 0.3005 0.3005  4 Au 3.32
Ac 0.8005 0.6995 0.6995  4 Au 3.32
Au 0.5000 0.7173 0.2827  2 Tm 2.90, 1 Au 3.11
Au 0.5000 0.2827 0.7173  2 Tm 2.90, 1 Au 3.11

# Ce2Tl3Hg4

Ce2Tl3Hg4 after structural relaxation (GGA-PBE, Alexandria).

Output
Size of the total moment ... 0.226 μB/atom
Calculated formation energy ... -97 meV/atom
Energy ... -42.09 eV/cell

Lattice parameters (Å, degrees): 6.2284 10.7617 8.1473 90.00 112.47 90.00
With the nearest neighbours (Å) after each atom.
Fractional coordinates of all 18 atoms:
Tl 0.0000 0.0000 0.0000  6 Hg 2.95-3.19
Tl 0.4808 0.2500 0.4616  2 Tl 3.11, 5 Hg 3.21-3.34
Tl 0.5192 0.7500 0.5384  2 Tl 3.11, 5 Hg 3.21-3.34
Tl 0.5000 0.5000 0.0000  6 Hg 2.95-3.19
Tl 0.0192 0.7500 0.5384  2 Tl 3.11, 5 Hg 3.21-3.34
Tl 0.9808 0.2500 0.4616  2 Tl 3.11, 5 Hg 3.21-3.34
Hg 0.2024 0.2500 0.9048  2 Hg 3.11, 3 Tl 3.19-3.34, 4 Ce 3.49
Hg 0.7976 0.7500 0.0952  2 Hg 3.11, 3 Tl 3.19-3.34, 4 Ce 3.49
Hg 0.3043 0.4902 0.6086  5 Tl 2.95-3.24, 1 Ce 3.23
Hg 0.7024 0.2500 0.9048  2 Hg 3.11, 3 Tl 3.19-3.34, 4 Ce 3.49
Hg 0.6957 0.5098 0.3914  5 Tl 2.95-3.24, 1 Ce 3.23
Hg 0.2976 0.7500 0.0952  2 Hg 3.11, 3 Tl 3.19-3.34, 4 Ce 3.49
Hg 0.1957 0.9902 0.3914  5 Tl 2.95-3.24, 1 Ce 3.23
Hg 0.8043 0.0098 0.6086  5 Tl 2.95-3.24, 1 Ce 3.23
Ce 0.4097 0.9663 0.8194  1 Ce 2.81
Ce 0.0903 0.4663 0.1806  1 Ce 2.81
Ce 0.5903 0.0337 0.1806  1 Ce 2.81
Ce 0.9097 0.5337 0.8194  1 Ce 2.81

# CaTaV2Ir

CaTaV2Ir after structural relaxation (GGA-PBE, Alexandria).

Output
Size of the total moment ... 0.410 μB/atom
Calculated formation energy ... 900 meV/atom
Energy ... -36.45 eV/cell

Lattice parameters (Å, degrees): 4.7270 4.9044 4.7270 90.00 90.00 90.00
With the nearest neighbours (Å) after each atom.
Fractional coordinates of all 5 atoms:
Ca 0.5000 0.5000 0.5000  4 Ir 3.34, 8 V 3.41
V 0.5000 0.0000 0.0000  2 Ta 2.36
V 0.0000 0.0000 0.5000  2 Ta 2.36
Ir 0.0000 0.5000 0.0000  2 Ta 2.45
Ta 0.0000 0.0000 0.0000  4 V 2.36, 2 Ir 2.45

# BaLaMo2

BaLaMo2 after structural relaxation (GGA-PBE, Alexandria).

Output
Size of the total moment ... 0.000 μB/atom
Calculated formation energy ... 1159 meV/atom
Polymorph energy (0 for the lowest one) ... 0.6740 eV per atom
Energy ... -23.88 eV/cell

Lattice parameters (Å, degrees): 3.2042 3.2042 10.1356 90.00 90.00 115.19
With the nearest neighbours (Å) after each atom.
Fractional coordinates of all 4 atoms:
Mo 0.0000 0.0000 0.9746  2 La 2.85
Mo 0.0000 0.0000 0.5254  2 La 2.85
La 0.5000 0.5000 0.7500  4 Mo 2.85
Ba 0.5000 0.5000 0.2500  6 Ba 3.20-3.43, 4 Mo 3.28

# Sr3Li2Mg7

Sr3Li2Mg7 after structural relaxation (GGA-PBE, Alexandria).

Output
Size of the total moment ... 0.000 μB/atom
Calculated formation energy ... -71 meV/atom
Energy ... -20.89 eV/cell

Lattice parameters (Å, degrees): 6.3104 6.3104 10.8006 73.01 73.01 60.00
With the nearest neighbours (Å) after each atom.
Fractional coordinates of all 12 atoms:
Sr 0.8580 0.8580 0.4262  12 Mg 3.68-3.85, 3 Sr 3.94
Sr 0.1420 0.1420 0.5738  12 Mg 3.68-3.85, 3 Sr 3.94
Sr 0.0000 0.0000 0.0000  6 Li 3.64, 12 Mg 3.99
Li 0.3334 0.3334 0.9999  6 Mg 3.05
Li 0.6666 0.6666 0.0001  6 Mg 3.05
Mg 0.5804 0.5804 0.7598  2 Li 3.05, 5 Mg 3.15-3.21
Mg 0.4196 0.4196 0.2402  2 Li 3.05, 5 Mg 3.15-3.21
Mg 0.4196 0.9206 0.2402  2 Li 3.05, 5 Mg 3.15-3.21
Mg 0.5000 0.5000 0.5000  6 Mg 3.21
Mg 0.5804 0.0794 0.7598  2 Li 3.05, 5 Mg 3.15-3.21
Mg 0.0794 0.5804 0.7598  2 Li 3.05, 5 Mg 3.15-3.21
Mg 0.9206 0.4196 0.2402  2 Li 3.05, 5 Mg 3.15-3.21

# NpPaFeTc

NpPaFeTc after structural relaxation (GGA-PBE, Alexandria).

Output
Size of the total moment ... 0.592 μB/atom
Calculated formation energy ... 92 meV/atom
Energy ... -40.90 eV/cell

Lattice parameters (Å, degrees): 4.7492 4.7492 4.7492 60.00 60.00 60.00
With the nearest neighbours (Å) after each atom.
Fractional coordinates of all 4 atoms:
Tc 0.2500 0.2500 0.2500  4 Np 2.91, 4 Pa 2.91
Fe 0.7500 0.7500 0.7500  4 Pa 2.91, 4 Np 2.91
Np 0.5000 0.5000 0.5000  4 Fe 2.91, 4 Tc 2.91
Pa 0.0000 0.0000 0.0000  4 Tc 2.91, 4 Fe 2.91

# Y2ZnC2

Y2ZnC2 after structural relaxation (GGA-PBE, Alexandria).

Output
Size of the total moment ... 0.000 μB/atom
Calculated formation energy ... -150 meV/atom
Energy ... -66.80 eV/cell

Lattice parameters (Å, degrees): 6.7010 6.7010 3.4216 90.00 90.00 90.00
With the nearest neighbours (Å) after each atom.
Fractional coordinates of all 10 atoms:
Y 0.8074 0.3074 0.5000  6 C 2.60-2.79
Y 0.6926 0.8074 0.5000  6 C 2.60-2.79
Y 0.3074 0.1926 0.5000  6 C 2.60-2.79
Y 0.1926 0.6926 0.5000  6 C 2.60-2.79
C 0.4251 0.9251 0.0000  1 C 1.42
C 0.0749 0.4251 0.0000  1 C 1.42
C 0.9251 0.5749 0.0000  1 C 1.42
C 0.5749 0.0749 0.0000  1 C 1.42
Zn 0.5000 0.5000 0.0000  4 C 2.89, 8 Y 2.97
Zn 0.0000 0.0000 0.0000  4 C 2.89, 8 Y 2.97

# NaTaCd

NaTaCd after structural relaxation (GGA-PBE, Alexandria).

Output
Size of the total moment ... 0.000 μB/atom
Calculated formation energy ... 1343 meV/atom
Polymorph energy (0 for the lowest one) ... 1.2055 eV per atom
Energy ... -10.06 eV/cell

Lattice parameters (Å, degrees): 4.6916 4.6916 4.6916 60.00 60.00 60.00
With the nearest neighbours (Å) after each atom.
Fractional coordinates of all 3 atoms:
Cd 0.0000 0.0000 0.0000  4 Ta 2.87, 4 Na 2.87
Ta 0.7500 0.7500 0.7500  4 Cd 2.87
Na 0.2500 0.2500 0.2500  4 Cd 2.87